[1]
# FePbBr2

A relaxed structure of FePbBr2 (PBE, Alexandria).

Computed properties:
Its space group is Immm, No. 71. The formation energy without anion corrections comes out at -0.102 eV per atom. The offset from the most stable computed form comes out at 30 kJ/mol of formula units. As for the volume: 120 Å³/f.u. The uncorrected energy is -3.98 eV per atom. The mass density is 5.8 g cm⁻³.

Lattice parameters (Å, degrees): 7.1670 7.1670 7.1670 151.16 137.10 52.52
With the nearest neighbours (Å) after each atom.
Sites, in units of the cell vectors:
Fe 0.0000 0.0000 0.0000  4 Br 2.59
Pb 0.5000 0.5000 0.0000  4 Fe 3.17, 4 Br 3.22
Br 0.1457 0.6457 0.5000  2 Fe 2.59
Br 0.8543 0.3543 0.5000  2 Fe 2.59

=====

[2]
# Li8AlAu2

A relaxed structure of Li8AlAu2 (PBE, Alexandria).

Computed properties:
Its space group is C2/m, No. 12. The offset from the most stable computed form comes out at 0 kJ/mol of formula units. As for the volume: 181 Å³/f.u. The uncorrected energy is -2.61 eV per atom. The mass density is 4.4 g cm⁻³.

Lattice parameters (Å, degrees): 7.4265 7.4265 6.3207 106.67 106.67 32.91
With the nearest neighbours (Å) after each atom.
Sites, in units of the cell vectors:
Li 0.0496 0.0496 0.2448  1 Au 2.70, 7 Li 2.82-3.01, 2 Al 2.87
Li 0.1455 0.1455 0.7078  3 Au 2.71-2.77, 7 Li 2.76-2.97, 2 Al 2.97
Li 0.3165 0.3165 0.5887  3 Au 2.66-2.81, 8 Li 2.70-2.97, 1 Al 2.83
Li 0.3937 0.3937 0.0344  5 Li 2.70-3.01, 3 Au 2.73-2.75, 1 Al 2.88
Li 0.6063 0.6063 0.9656  5 Li 2.70-3.01, 3 Au 2.73-2.75, 1 Al 2.88
Li 0.6835 0.6835 0.4113  3 Au 2.66-2.81, 8 Li 2.70-2.97, 1 Al 2.83
Li 0.8545 0.8545 0.2922  3 Au 2.71-2.77, 7 Li 2.76-2.97, 2 Al 2.97
Li 0.9504 0.9504 0.7552  1 Au 2.70, 7 Li 2.82-3.01, 2 Al 2.87
Al 0.5000 0.5000 0.5000  12 Li 2.83-2.97
Au 0.2238 0.2238 0.1557  10 Li 2.66-2.81
Au 0.7762 0.7762 0.8443  10 Li 2.66-2.81

=====

[3]
# TlIr2Au

A relaxed structure of TlIr2Au (PBE, Alexandria).

Computed properties:
Its space group is I-4m2, No. 119. The offset from the most stable computed form comes out at 78 kJ/mol of formula units. As for the volume: 69 Å³/f.u. The uncorrected energy is -5.25 eV per atom. The mass density is 18.9 g cm⁻³.

Lattice parameters (Å, degrees): 4.9401 4.9401 4.9401 129.96 129.96 73.48
With the nearest neighbours (Å) after each atom.
Sites, in units of the cell vectors:
Tl 0.0000 0.0000 0.0000  8 Ir 2.88-2.96, 4 Au 2.88
Ir 0.5000 0.5000 0.0000  4 Ir 2.88, 4 Au 2.88, 4 Tl 2.96
Ir 0.7500 0.2500 0.5000  4 Ir 2.88, 4 Tl 2.88, 4 Au 2.96
Au 0.2500 0.7500 0.5000  8 Ir 2.88-2.96, 4 Tl 2.88